[1]
Bi3SeS3: optimized geometry, PBE.

a = 8.257 Å, b = 8.257 Å, c = 8.257 Å
α = 60.48°, β = 60.48°, γ = 60.48°
Fractional positions:
Bi: 0.027 0.790 0.424
Bi: 0.210 0.576 0.973
Bi: 0.424 0.027 0.790
Bi: 0.576 0.973 0.210
Bi: 0.790 0.424 0.027
Bi: 0.973 0.210 0.576
Se: 0.169 0.169 0.169
Se: 0.831 0.831 0.831
S: 0.109 0.375 0.686
S: 0.314 0.891 0.625
S: 0.375 0.686 0.109
S: 0.625 0.314 0.891
S: 0.686 0.109 0.375
S: 0.891 0.625 0.314

Calculated values
DFT total energy   -4.140 eV per atom
Energy above the most stable polymorph in this dataset   0.0544 eV per atom
Density of states at the Fermi level   0.431 states/eV per atom
SG   R-3, No. 148

[2]
BiSeS2: optimized geometry, PBE.

a = 8.906 Å, b = 8.906 Å, c = 8.906 Å
α = 23.94°, β = 23.94°, γ = 23.94°
Fractional positions:
Bi: 0.000 0.000 0.000
Se: 0.500 0.500 0.500
S: 0.109 0.109 0.109
S: 0.891 0.891 0.891

Calculated values
DFT total energy   -3.582 eV per atom
Energy above the most stable polymorph in this dataset   0.4221 eV per atom
Density of states at the Fermi level   0.519 states/eV per atom
SG   R-3m, No. 166

[3]
Bi3SeS6: optimized geometry, PBE.

a = 8.791 Å, b = 8.791 Å, c = 7.489 Å
α = 90.00°, β = 90.00°, γ = 105.38°
Fractional positions:
Bi: 0.111 0.889 0.500
Bi: 0.210 0.417 0.482
Bi: 0.417 0.210 0.982
Bi: 0.583 0.790 0.482
Bi: 0.790 0.583 0.982
Bi: 0.889 0.111 0.000
Se: 0.289 0.711 0.089
Se: 0.711 0.289 0.589
S: 0.074 0.597 0.236
S: 0.150 0.196 0.205
S: 0.196 0.150 0.705
S: 0.278 0.722 0.664
S: 0.403 0.926 0.236
S: 0.497 0.503 0.355
S: 0.503 0.497 0.855
S: 0.597 0.074 0.736
S: 0.722 0.278 0.164
S: 0.804 0.850 0.205
S: 0.850 0.804 0.705
S: 0.926 0.403 0.736

Calculated values
DFT total energy   -4.111 eV per atom
Density of states at the Fermi level   0.448 states/eV per atom
SG   Cmc2_1, No. 36

[4]
BiSeS2: optimized geometry, PBE.

a = 6.255 Å, b = 6.255 Å, c = 6.255 Å
α = 107.71°, β = 107.71°, γ = 113.05°
Fractional positions:
Bi: 0.000 0.000 0.000
Bi: 0.750 0.250 0.500
Se: 0.250 0.750 0.500
Se: 0.500 0.500 0.000
S: 0.138 0.625 0.013
S: 0.375 0.388 0.513
S: 0.612 0.125 0.987
S: 0.875 0.862 0.487

Calculated values
DFT total energy   -3.671 eV per atom
Energy above the most stable polymorph in this dataset   0.3335 eV per atom
Density of states at the Fermi level   0.767 states/eV per atom
SG   I-42d, No. 122

Number 1: formation energy (no corrections) -0.210 eV per atom. Number 2: formation energy (no corrections) 0.323 eV per atom. Number 3: formation energy (no corrections) -0.122 eV per atom. Number 4: formation energy (no corrections) 0.234 eV per atom.